No. 1
Density functional theory data (PBE-GGA) for an optimized crystal structure of Zn2BiMo.

Properties
* calculated volume: 163.5 Å³/cell
* electronic total energy: -3.639 eV per atom
* formation energy: 2.704 eV/f.u.
* density of states at the Fermi level: 0.517 states/eV per atom

Cell and atoms, written as POSCAR:
```
Zn2BiMo
1.0
-3.861 3.861 2.742
3.861 -3.861 2.742
3.861 3.861 -2.742
Zn Bi Mo
4 2 2
Direct
0.094 0.625 0.969
0.375 0.344 0.469
0.656 0.125 0.031
0.875 0.906 0.531
0.250 0.750 0.500
0.500 0.500 0.000
0.000 0.000 0.000
0.750 0.250 0.500
```

No. 2
Density functional theory data (PBE-GGA) for an optimized crystal structure of ZnBi2Mo.

Properties
* calculated volume: 263.2 Å³/cell
* electronic total energy: -4.168 eV per atom
* formation energy: 3.195 eV/f.u.
* density of states at the Fermi level: 0.304 states/eV per atom

Cell and atoms, written as POSCAR:
```
ZnBi2Mo
1.0
-3.206 3.206 6.402
3.206 -3.206 6.402
3.206 3.206 -6.402
Zn Bi Mo
2 4 2
Direct
0.000 0.000 0.000
0.750 0.250 0.500
0.131 0.625 0.006
0.375 0.381 0.506
0.619 0.125 0.994
0.875 0.869 0.494
0.250 0.750 0.500
0.500 0.500 0.000
```

No. 3
Density functional theory data (PBE-GGA) for an optimized crystal structure of ZnBiMo3.

Properties
* calculated volume: 100.6 Å³/cell
* excess energy over the best structure of this formula in the dataset: 0 meV per atom
* electronic total energy: -6.005 eV per atom
* formation energy: 7.624 eV/f.u.
* density of states at the Fermi level: 1.180 states/eV per atom

Cell and atoms, written as POSCAR:
```
ZnBiMo3
1.0
4.650 0.000 0.000
0.000 4.650 0.000
0.000 0.000 4.650
Zn Bi Mo
1 1 3
Direct
0.000 0.000 0.000
0.500 0.500 0.500
0.000 0.000 0.500
0.000 0.500 0.000
0.500 0.000 0.000
```